First-principles (PBE) data for crystalline CePmDy2Sb4 at its relaxed geometry, as listed in Alexandria via LeMat-Bulk.

Output
energy relative to the elements, uncorrected: -9.0 eV/f.u.
symmetry: No. 10
V: 247.7 Å³ per cell
calculated total energy: -5.672 eV per atom

Lattice parameters (Å, degrees): 4.4434 7.6809 7.6954 70.55 90.00 90.00
Last column: nearest neighbours and their distance in Å.
Positions (direct):
Ce: 0.5000 0.5000 0.0000  6 Sb 3.16-3.17
Pm: 0.0000 0.5000 0.5000  6 Sb 3.17
Dy: 0.0000 0.0000 0.0000  6 Sb 3.11
Dy: 0.5000 0.0000 0.5000  6 Sb 3.12
Sb: 0.0000 0.7564 0.7483  3 Dy 3.11-3.12, 2 Ce 3.17, 1 Pm 3.17
Sb: 0.0000 0.2436 0.2517  3 Dy 3.11-3.12, 2 Ce 3.17, 1 Pm 3.17
Sb: 0.5000 0.7565 0.2469  3 Dy 3.11-3.12, 1 Ce 3.16, 2 Pm 3.17
Sb: 0.5000 0.2435 0.7531  3 Dy 3.11-3.12, 1 Ce 3.16, 2 Pm 3.17